VASP calculation (PBE with a Hubbard U) on crystalline Sr3Mn2NbO9 at its relaxed geometry.

The structure in POSCAR format:
```
Sr3Mn2NbO9
1.0
5.607 0.000 0.000
-2.804 4.856 0.000
0.000 0.000 6.886
Sr Mn Nb O
3 2 1 9
Direct
0.000 0.000 0.000
0.333 0.667 0.683
0.667 0.333 0.317
0.333 0.667 0.161
0.667 0.333 0.839
0.000 0.000 0.500
0.000 0.500 0.000
0.168 0.335 0.332
0.168 0.832 0.332
0.335 0.168 0.668
0.500 0.000 0.000
0.500 0.500 0.000
0.665 0.832 0.332
0.832 0.168 0.668
0.832 0.665 0.668
```

Summary:
The density of states at the Fermi level is 2.1 states/eV per cell. The value obtained for the total energy is -7.385 eV per atom.